## ScZn3O (PBE)

Data for an optimized crystal structure of ScZn3O.

Lattice parameters (Å, degrees): 4.328 4.328 4.328 90.00 90.00 90.00
Fractional positions:
Sc  0.500  0.500  0.500
Zn  0.000  0.500  0.000
Zn  0.000  0.000  0.500
Zn  0.500  0.000  0.000
O  0.000  0.000  0.000

Computed properties:
Crystal system ... cubic
E_form (uncorrected) ... -130 meV per atom
ΔE to the lowest computed polymorph ... 0.0000 eV per atom

***

## Sc3ZnO (PBE)

Data for an optimized crystal structure of Sc3ZnO.

Lattice parameters (Å, degrees): 4.734 4.734 11.028 77.61 77.61 90.00
Fractional positions:
Sc  0.108  0.873  0.254
Sc  0.127  0.892  0.746
Sc  0.127  0.361  0.746
Sc  0.639  0.873  0.254
Sc  0.303  0.303  0.394
Sc  0.697  0.697  0.606
Zn  0.000  0.000  0.000
Zn  0.250  0.750  0.500
O  0.653  0.153  0.694
O  0.847  0.347  0.306

Computed properties:
Crystal system ... tetragonal
E_form (uncorrected) ... 29 meV per atom

***

## Sc3ZnO (PBE)

Data for an optimized crystal structure of Sc3ZnO.

Lattice parameters (Å, degrees): 4.929 12.251 6.256 90.00 90.00 90.00
Fractional positions:
Sc  0.000  0.883  0.899
Sc  0.500  0.383  0.399
Sc  0.500  0.117  0.399
Sc  0.000  0.383  0.101
Sc  0.000  0.117  0.101
Sc  0.500  0.617  0.601
Sc  0.500  0.883  0.601
Sc  0.000  0.617  0.899
Sc  0.499  0.250  0.928
Sc  0.001  0.750  0.428
Sc  0.501  0.750  0.072
Sc  0.999  0.250  0.572
Zn  0.000  0.000  0.500
Zn  0.500  0.500  0.000
Zn  0.500  0.000  0.000
Zn  0.000  0.500  0.500
O  0.502  0.250  0.600
O  0.998  0.750  0.100
O  0.498  0.750  0.400
O  0.002  0.250  0.900

Computed properties:
Crystal system ... orthorhombic
E_form (uncorrected) ... -1213 meV per atom

***

## Sc3ZnO (PBE)

Data for an optimized crystal structure of Sc3ZnO.

Lattice parameters (Å, degrees): 5.247 5.247 5.247 110.08 110.08 110.08
Each line ends with the local moment (μB).
Fractional positions:
Sc  0.708  0.080  0.708  0.28
Sc  0.080  0.708  0.708  0.29
Sc  0.708  0.708  0.080  0.26
Zn  0.390  0.390  0.390  0.01
O  0.989  0.989  0.989  -0.01

Computed properties:
Crystal system ... trigonal
E_form (uncorrected) ... -828 meV per atom

***

## Sc3ZnO (PBE)

Data for an optimized crystal structure of Sc3ZnO.

Lattice parameters (Å, degrees): 7.515 7.515 7.515 49.34 49.34 49.34
Fractional positions:
Sc  0.936  0.564  0.250
Sc  0.564  0.250  0.936
Sc  0.250  0.936  0.564
Sc  0.750  0.064  0.436
Sc  0.436  0.750  0.064
Sc  0.064  0.436  0.750
Zn  0.000  0.000  0.000
Zn  0.500  0.500  0.500
O  0.250  0.250  0.250
O  0.750  0.750  0.750

Computed properties:
Crystal system ... trigonal
E_form (uncorrected) ... -964 meV per atom

***

## Sc3ZnO (PBE)

Data for an optimized crystal structure of Sc3ZnO.

Lattice parameters (Å, degrees): 8.312 8.312 8.312 60.00 60.00 60.00
Each line ends with the local moment (μB).
Fractional positions:
Sc  0.811  0.189  0.189  0.34
Sc  0.061  0.439  0.439  0.34
Sc  0.439  0.439  0.061  0.37
Sc  0.439  0.061  0.061  0.34
Sc  0.061  0.439  0.061  0.34
Sc  0.811  0.189  0.811  0.33
Sc  0.439  0.061  0.439  0.33
Sc  0.061  0.061  0.439  0.35
Sc  0.189  0.811  0.189  0.34
Sc  0.189  0.811  0.811  0.34
Sc  0.189  0.189  0.811  0.35
Sc  0.811  0.811  0.189  0.37
Zn  0.625  0.625  0.625  0.02
Zn  0.625  0.125  0.625  0.01
Zn  0.125  0.625  0.625  0.03
Zn  0.625  0.625  0.125  0.02
O  0.125  0.125  0.125  -0.03
O  0.125  0.625  0.125  -0.02
O  0.625  0.125  0.125  -0.03
O  0.125  0.125  0.625  -0.03

Computed properties:
Crystal system ... cubic
E_form (uncorrected) ... -929 meV per atom

***

## ScZnO3 (PBE)

Data for an optimized crystal structure of ScZnO3.

Lattice parameters (Å, degrees): 4.003 4.003 4.003 90.00 90.00 90.00
Each line ends with the local moment (μB).
Fractional positions:
Sc  0.000  0.000  0.000  0.04
Zn  0.500  0.500  0.500  0.04
O  0.000  0.500  0.000  -0.36
O  0.000  0.000  0.500  -0.26
O  0.500  0.000  0.000  -0.32

Computed properties:
Crystal system ... cubic
E_form (uncorrected) ... -1423 meV per atom

***

## Sc3ZnO (PBE)

Data for an optimized crystal structure of Sc3ZnO.

Lattice parameters (Å, degrees): 3.549 3.549 17.554 90.00 90.00 120.00
Fractional positions:
Sc  0.000  0.000  0.250
Sc  0.000  0.000  0.750
Sc  0.333  0.667  0.889
Sc  0.333  0.667  0.611
Sc  0.667  0.333  0.389
Sc  0.667  0.333  0.111
Zn  0.000  0.000  0.000
Zn  0.000  0.000  0.500
O  0.333  0.667  0.750
O  0.667  0.333  0.250

Computed properties:
Crystal system ... hexagonal
E_form (uncorrected) ... -1154 meV per atom

***

## Sc3ZnO (PBE)

Data for an optimized crystal structure of Sc3ZnO.

Lattice parameters (Å, degrees): 24.086 5.843 8.631 90.00 162.38 90.00
Fractional positions:
Sc  0.334  0.899  0.956
Sc  0.666  0.101  0.044
Sc  0.166  0.399  0.544
Sc  0.834  0.601  0.456
Sc  0.299  0.214  0.216
Sc  0.701  0.786  0.784
Sc  0.201  0.714  0.284
Sc  0.799  0.286  0.716
Sc  0.581  0.789  0.118
Sc  0.419  0.211  0.882
Sc  0.919  0.289  0.382
Sc  0.081  0.711  0.618
Zn  0.465  0.622  0.532
Zn  0.535  0.378  0.468
Zn  0.035  0.122  0.968
Zn  0.965  0.878  0.032
O  0.048  0.368  0.489
O  0.952  0.632  0.511
O  0.452  0.868  0.011
O  0.548  0.132  0.989

Computed properties:
Crystal system ... monoclinic
E_form (uncorrected) ... -1211 meV per atom

***

## Sc3ZnO (PBE)

Data for an optimized crystal structure of Sc3ZnO.

Lattice parameters (Å, degrees): 5.186 6.159 6.158 120.00 90.01 90.00
Each line ends with the local moment (μB).
Fractional positions:
Sc  0.963  0.525  0.275  0.25
Sc  0.963  0.049  0.332  0.24
Sc  0.463  0.722  0.612  0.24
Sc  0.963  0.582  0.808  0.24
Sc  0.463  0.189  0.136  0.24
Sc  0.463  0.245  0.668  0.25
Zn  0.463  0.719  0.139  -0.01
Zn  0.963  0.052  0.805  -0.01
O  0.213  0.385  0.472  -0.01
O  0.713  0.385  0.472  -0.01

Computed properties:
Crystal system ... hexagonal
E_form (uncorrected) ... -1321 meV per atom

***

## Sc3ZnO (PBE)

Data for an optimized crystal structure of Sc3ZnO.

Lattice parameters (Å, degrees): 4.651 6.102 7.278 72.46 90.01 67.60
Fractional positions:
Sc  0.829  0.849  0.033
Sc  0.117  0.271  0.421
Sc  0.540  0.426  0.633
Sc  0.116  0.274  0.923
Sc  0.827  0.851  0.523
Sc  0.539  0.429  0.135
Zn  0.328  0.850  0.778
Zn  0.328  0.850  0.278
O  0.634  0.238  0.430
O  0.022  0.462  0.126

Computed properties:
Crystal system ... monoclinic
E_form (uncorrected) ... -1307 meV per atom

***

## Sc3ZnO (PBE)

Data for an optimized crystal structure of Sc3ZnO.

Lattice parameters (Å, degrees): 11.458 8.022 8.022 81.68 124.99 55.01
Fractional positions:
Sc  0.402  0.411  0.449
Sc  0.098  0.949  0.911
Sc  0.598  0.589  0.551
Sc  0.902  0.051  0.089
Sc  0.096  0.222  0.170
Sc  0.404  0.670  0.722
Sc  0.904  0.778  0.830
Sc  0.596  0.330  0.278
Sc  0.563  0.883  0.795
Sc  0.937  0.295  0.383
Sc  0.437  0.117  0.205
Sc  0.063  0.705  0.617
Zn  0.053  0.544  0.317
Zn  0.447  0.817  0.044
Zn  0.947  0.456  0.683
Zn  0.553  0.183  0.956
O  0.750  0.188  0.688
O  0.250  0.812  0.312
O  0.750  0.451  0.951
O  0.250  0.549  0.049

Computed properties:
Crystal system ... monoclinic
E_form (uncorrected) ... -1235 meV per atom

***

no.,density of states at the Fermi level (states/eV/f.u.)
1,2.0
2,4.6
3,1.9
4,4.3
5,6.8
6,5.1
7,3.4
8,6.1
9,2.7
10,1.2
11,2.2
12,4.0